Model i:
AcHoAl4: optimized geometry, PBE-GGA.

```
12
Lattice="4.410 0.000 0.000 0.000 4.410 0.000 0.000 0.000 15.486" Properties=species:S:1:pos:R:3 pbc="T T T"
Ac 0.000 0.000 0.000
Ac 2.205 2.205 7.743
Ho 0.000 2.205 3.872
Ho 2.205 0.000 11.615
Al 0.000 0.000 6.404
Al 0.000 0.000 9.082
Al 0.000 2.205 10.368
Al 0.000 2.205 12.861
Al 2.205 0.000 2.625
Al 2.205 0.000 5.118
Al 2.205 2.205 1.339
Al 2.205 2.205 14.147
```

D(E_F) (states/eV/f.u.): 5.0
Volume (A^3/atom): 25.1
Crystal system: tetragonal

Model ii:
AcHoAl4: optimized geometry, PBE-GGA.

```
6
Lattice="0.000 4.061 4.061 4.061 0.000 4.061 4.061 4.061 0.000" Properties=species:S:1:pos:R:3 pbc="T T T"
Ac 0.000 0.000 0.000
Ho 2.031 2.031 2.031
Al 5.075 3.048 3.048
Al 3.048 5.075 3.048
Al 3.048 3.048 5.075
Al 5.075 5.075 5.075
```

D(E_F) (states/eV/f.u.): 5.3
Volume (A^3/atom): 22.3
Crystal system: cubic

It is model i that is the least stable of them.

Model i:
AcHo3Al8: optimized geometry, PBE-GGA.

```
12
Lattice="2.810 1.623 9.301 -2.810 1.623 9.301 0.000 -3.245 9.301" Properties=species:S:1:pos:R:3 pbc="T T T"
Ac 0.000 0.000 0.000
Ho 0.000 0.000 3.512
Ho 0.000 0.000 13.986
Ho 0.000 0.000 17.401
Al 0.000 -1.612 6.327
Al -1.396 0.806 6.327
Al -1.398 -0.807 11.151
Al 0.000 0.000 8.697
Al 1.396 0.806 6.327
Al 1.398 -0.807 11.151
Al 0.000 1.614 11.151
Al 0.000 0.000 22.701
```

D(E_F) (states/eV/f.u.): 9.2
Volume (A^3/atom): 21.2
Crystal system: trigonal

Model ii:
AcHo3Al8: optimized geometry, PBE-GGA.

```
12
Lattice="5.626 0.000 0.000 -2.813 4.872 0.000 0.000 0.000 9.301" Properties=species:S:1:pos:R:3 pbc="T T T"
Ac 0.000 0.000 0.000
Ho 0.000 0.000 3.406
Ho 2.813 1.624 4.642
Ho 2.813 1.624 7.999
Al 0.000 1.583 6.276
Al -1.442 4.081 6.276
Al 0.000 3.248 4.065
Al 0.000 3.248 8.629
Al 2.813 0.043 1.807
Al 1.444 2.414 1.807
Al 1.442 4.081 6.276
Al 4.182 2.414 1.807
```

D(E_F) (states/eV/f.u.): 6.1
Volume (A^3/atom): 21.2
Crystal system: trigonal

It is model ii that is the least stable of them.

Model i:
Ac4AlIn: optimized geometry, PBE-GGA.

```
12
Lattice="9.628 0.000 0.000 0.000 5.564 0.000 -3.202 0.000 9.137" Properties=species:S:1:pos:R:3 pbc="T T T"
Ac 0.002 0.000 3.339
Ac -1.598 2.782 8.073
Ac 3.210 0.000 1.063
Ac 1.610 2.782 5.798
Ac 4.815 2.782 3.339
Ac 3.215 0.000 8.073
Ac 8.024 2.782 1.063
Ac 6.424 0.000 5.798
Al 0.000 0.000 0.000
Al 4.814 2.782 0.000
In -1.601 2.782 4.568
In 3.213 0.000 4.568
```

D(E_F) (states/eV/f.u.): 8.3
Volume (A^3/atom): 40.8
Crystal system: monoclinic

Model ii:
Ac4AlIn: optimized geometry, PBE-GGA.

```
24
Lattice="0.000 7.672 7.672 7.672 0.000 7.672 7.672 7.672 0.000" Properties=species:S:1:pos:R:3 pbc="T T T"
Ac 7.672 7.672 2.873
Ac 7.672 2.873 7.672
Ac 12.472 7.672 7.672
Ac 5.975 5.975 5.975
Ac 9.369 9.369 5.975
Ac 9.369 5.975 9.369
Ac 11.508 11.508 8.484
Ac 11.508 8.484 11.508
Ac 14.533 11.508 11.508
Ac 2.873 7.672 7.672
Ac 7.672 12.472 7.672
Ac 7.672 7.672 12.472
Ac 5.975 9.369 9.369
Ac 8.484 11.508 11.508
Ac 11.508 14.533 11.508
Ac 11.508 11.508 14.533
Al 9.297 6.048 6.048
Al 6.048 9.297 6.048
Al 6.048 6.048 9.297
Al 9.297 9.297 9.297
In 2.602 2.602 2.602
In 5.070 5.070 2.602
In 5.070 2.602 5.070
In 2.602 5.070 5.070
```

D(E_F) (states/eV/f.u.): 9.3
Volume (A^3/atom): 37.6
Crystal system: cubic

It is model i that is the least stable of them.

Model i:
AcAl3Ir2: optimized geometry, PBE-GGA.

```
12
Lattice="7.916 -2.092 0.000 7.916 2.092 0.000 -3.340 0.000 7.153" Properties=species:S:1:pos:R:3 pbc="T T T"
Ac 2.193 0.000 0.505
Ac 10.299 0.000 6.648
Al -0.629 0.000 2.599
Al 3.174 0.000 3.973
Al 5.328 0.000 2.336
Al 7.164 0.000 4.817
Al 9.318 0.000 3.179
Al 13.121 0.000 4.554
Ir 0.722 0.000 4.695
Ir 4.905 0.000 5.890
Ir 7.587 0.000 1.262
Ir 11.770 0.000 2.457
```

D(E_F) (states/eV/f.u.): 2.9
Volume (A^3/atom): 19.7
Crystal system: monoclinic

Model ii:
AcAl3Ir2: optimized geometry, PBE-GGA.

```
18
Lattice="8.401 -2.095 0.000 8.401 2.095 0.000 -2.865 0.000 9.887" Properties=species:S:1:pos:R:3 pbc="T T T"
Ac 0.000 0.000 0.000
Ac 0.638 0.000 7.042
Ac 13.299 0.000 2.845
Al -0.170 0.000 3.465
Al 2.504 0.000 3.950
Al 5.368 0.000 0.287
Al 3.921 0.000 7.784
Al 6.969 0.000 4.944
Al 10.017 0.000 2.103
Al 8.570 0.000 9.600
Al 11.434 0.000 5.937
Al 14.108 0.000 6.422
Ir 2.878 0.000 1.278
Ir 4.535 0.000 5.419
Ir 7.365 0.000 2.236
Ir 6.573 0.000 7.651
Ir 9.403 0.000 4.468
Ir 11.060 0.000 8.609
```

D(E_F) (states/eV/f.u.): 3.0
Volume (A^3/atom): 19.3
Crystal system: monoclinic

It is model i that is the least stable of them.

Model i:
AcAl3Ir: optimized geometry, PBE-GGA.

```
5
Lattice="4.831 0.000 0.000 0.000 4.831 0.000 0.000 0.000 4.831" Properties=species:S:1:pos:R:3 pbc="T T T"
Ac 0.000 0.000 0.000
Al 0.000 2.416 2.416
Al 2.416 0.000 2.416
Al 2.416 2.416 0.000
Ir 2.416 2.416 2.416
```

D(E_F) (states/eV/f.u.): 3.5
Volume (A^3/atom): 22.5
Crystal system: cubic

Model ii:
AcAl3Ir: optimized geometry, PBE-GGA.

```
20
Lattice="8.622 0.000 0.000 0.000 4.307 0.000 0.000 0.000 11.366" Properties=species:S:1:pos:R:3 pbc="T T T"
Ac 1.581 1.077 0.124
Ac 2.730 3.230 5.807
Ac 5.891 1.077 5.559
Ac 7.041 3.230 11.243
Al 0.427 1.077 6.591
Al 1.065 3.230 8.795
Al 1.198 3.230 2.584
Al 3.113 1.077 8.267
Al 3.246 1.077 3.111
Al 3.883 3.230 0.908
Al 4.738 1.077 10.458
Al 5.376 3.230 8.255
Al 5.509 3.230 3.099
Al 7.424 1.077 8.782
Al 7.556 1.077 2.572
Al 8.194 3.230 4.775
Ir 0.902 1.077 4.032
Ir 3.409 3.230 9.715
Ir 5.213 1.077 1.651
Ir 7.719 3.230 7.335
```

D(E_F) (states/eV/f.u.): 2.5
Volume (A^3/atom): 21.1
Crystal system: orthorhombic

It is model i that is the least stable of them.

Model i:
AcAl2Ir: optimized geometry, PBE-GGA.

```
32
Lattice="15.815 0.000 0.000 0.000 7.225 0.000 0.000 0.000 6.136" Properties=species:S:1:pos:R:3 pbc="T T T"
Ac 1.542 1.806 1.261
Ac 2.144 5.419 0.109
Ac 5.763 1.806 3.177
Ac 6.365 5.419 4.329
Ac 9.449 1.806 1.807
Ac 10.052 5.419 2.959
Ac 13.670 1.806 6.027
Ac 14.273 5.419 4.875
Al 0.806 0.473 4.217
Al 0.806 3.140 4.217
Al 3.274 4.031 3.229
Al 3.274 6.807 3.229
Al 4.633 0.419 0.161
Al 4.633 3.194 0.161
Al 7.101 4.085 1.148
Al 7.101 6.753 1.148
Al 8.713 0.473 4.988
Al 8.713 3.140 4.988
Al 11.181 4.031 5.975
Al 11.181 6.807 5.975
Al 12.541 0.419 2.907
Al 12.541 3.194 2.907
Al 15.009 4.085 1.920
Al 15.009 6.753 1.920
Ir 1.083 5.419 3.081
Ir 3.033 1.806 4.647
Ir 4.875 5.419 1.579
Ir 6.825 1.806 0.013
Ir 8.990 5.419 6.123
Ir 10.940 1.806 4.558
Ir 12.782 5.419 1.489
Ir 14.732 1.806 3.055
```

D(E_F) (states/eV/f.u.): 2.6
Volume (A^3/atom): 21.9
Crystal system: orthorhombic

Model ii:
AcAl2Ir: optimized geometry, PBE-GGA.

```
16
Lattice="4.242 0.000 0.000 0.000 11.290 0.000 0.000 0.000 7.462" Properties=species:S:1:pos:R:3 pbc="T T T"
Ac 0.000 0.596 1.866
Ac 0.000 10.694 5.597
Ac 2.121 5.049 5.597
Ac 2.121 6.241 1.866
Al 0.000 3.652 0.447
Al 0.000 3.652 3.284
Al 0.000 7.638 4.178
Al 0.000 7.638 7.015
Al 2.121 1.993 4.178
Al 2.121 1.993 7.015
Al 2.121 9.297 0.447
Al 2.121 9.297 3.284
Ir 0.000 2.481 5.597
Ir 0.000 8.808 1.866
Ir 2.121 3.163 1.866
Ir 2.121 8.126 5.597
```

D(E_F) (states/eV/f.u.): 2.8
Volume (A^3/atom): 22.3
Crystal system: orthorhombic

Model iii:
AcAl2Ir: optimized geometry, PBE-GGA.

```
12
Lattice="4.283 0.000 0.000 -2.141 3.709 0.000 0.000 0.000 17.284" Properties=species:S:1:pos:R:3 pbc="T T T"
Ac 0.000 0.000 0.000
Ac 0.000 2.473 11.523
Ac 2.141 1.236 5.761
Al 0.000 0.000 3.480
Al 0.000 0.000 13.805
Al 0.000 2.473 8.043
Al 0.000 2.473 15.002
Al 2.141 1.236 2.282
Al 2.141 1.236 9.241
Ir 0.000 0.000 8.642
Ir 0.000 2.473 2.881
Ir 2.141 1.236 14.404
```

D(E_F) (states/eV/f.u.): 3.8
Volume (A^3/atom): 22.9
Crystal system: trigonal

It is model iii that is the least stable of them.

Model i:
Ac2LaAl: optimized geometry, PBE-GGA.

```
4
Lattice="3.952 0.000 0.000 0.000 3.952 0.000 0.000 0.000 9.285" Properties=species:S:1:pos:R:3 pbc="T T T"
Ac 0.000 0.000 1.923
Ac 0.000 0.000 7.362
La 1.976 1.976 4.643
Al 1.976 1.976 0.000
```

D(E_F) (states/eV/f.u.): 4.5
Volume (A^3/atom): 36.3
Crystal system: tetragonal

Model ii:
Ac2LaAl: optimized geometry, PBE-GGA.

```
4
Lattice="5.222 0.000 0.000 0.000 5.222 0.000 0.000 0.000 5.052" Properties=species:S:1:pos:R:3 pbc="T T T"
Ac 0.000 2.611 0.000
Ac 2.611 0.000 0.000
La 0.000 0.000 2.526
Al 2.611 2.611 2.526
```

D(E_F) (states/eV/f.u.): 5.7
Volume (A^3/atom): 34.4
Crystal system: tetragonal

Model iii:
Ac2LaAl: optimized geometry, PBE-GGA.

```
16
Lattice="8.222 0.000 0.000 0.000 8.222 0.000 0.000 0.000 8.222" Properties=species:S:1:pos:R:3 pbc="T T T"
Ac 2.056 2.056 2.056
Ac 2.056 2.056 6.167
Ac 2.056 6.167 2.056
Ac 2.056 6.167 6.167
Ac 6.167 2.056 2.056
Ac 6.167 2.056 6.167
Ac 6.167 6.167 2.056
Ac 6.167 6.167 6.167
La 0.000 0.000 0.000
La 0.000 4.111 4.111
La 4.111 0.000 4.111
La 4.111 4.111 0.000
Al 0.000 0.000 4.111
Al 0.000 4.111 0.000
Al 4.111 0.000 0.000
Al 4.111 4.111 4.111
```

D(E_F) (states/eV/f.u.): 7.5
Volume (A^3/atom): 34.7
Crystal system: cubic

It is model iii that is the least stable of them.

Model i:
Li6AcAl2: optimized geometry, PBE-GGA.

```
9
Lattice="6.718 -3.205 0.000 6.718 3.205 0.000 -1.694 0.000 4.512" Properties=species:S:1:pos:R:3 pbc="T T T"
Li 2.601 1.694 3.577
Li 6.718 2.077 0.000
Li 9.143 1.694 0.935
Li 2.601 -1.694 3.577
Li 6.718 -2.077 0.000
Li 9.143 -1.694 0.935
Ac 5.872 0.000 2.256
Al 0.425 0.000 2.740
Al 11.318 0.000 1.772
```

D(E_F) (states/eV/f.u.): 4.5
Volume (A^3/atom): 21.6
Crystal system: monoclinic

Model ii:
Li6AcAl2: optimized geometry, PBE-GGA.

```
9
Lattice="4.583 0.000 0.000 0.000 4.583 0.000 0.000 0.000 9.517" Properties=species:S:1:pos:R:3 pbc="T T T"
Li 0.000 0.000 0.000
Li 0.000 2.291 1.859
Li 0.000 2.291 7.659
Li 2.291 0.000 1.859
Li 2.291 0.000 7.659
Li 2.291 2.291 0.000
Ac 0.000 0.000 4.759
Al 2.291 2.291 3.451
Al 2.291 2.291 6.067
```

D(E_F) (states/eV/f.u.): 4.4
Volume (A^3/atom): 22.2
Crystal system: tetragonal

It is model i that is the least stable of them.

Model i:
Li4Ac2Al3: optimized geometry, PBE-GGA.

```
18
Lattice="2.888 -8.415 0.000 2.888 8.415 0.000 0.000 0.000 8.700" Properties=species:S:1:pos:R:3 pbc="T T T"
Li 1.444 1.160 6.525
Li 2.888 5.211 8.624
Li 2.888 3.204 4.274
Li 1.444 -1.160 2.175
Li 4.331 1.160 6.525
Li 2.888 -3.204 4.426
Li 2.888 -5.211 0.076
Li 4.331 -1.160 2.175
Ac 2.888 6.591 5.190
Ac 2.888 1.824 0.841
Ac 2.888 -1.824 7.859
Ac 2.888 -6.591 3.509
Al 0.000 0.000 0.000
Al 1.444 3.847 6.525
Al 1.444 -3.847 2.175
Al 2.888 0.000 4.350
Al 4.331 3.847 6.525
Al 4.331 -3.847 2.175
```

D(E_F) (states/eV/f.u.): 6.5
Volume (A^3/atom): 23.5
Crystal system: orthorhombic

Model ii:
Li4Ac2Al3: optimized geometry, PBE-GGA.

```
9
Lattice="0.000 5.066 7.408 2.845 0.000 7.408 2.845 5.066 0.000" Properties=species:S:1:pos:R:3 pbc="T T T"
Li 2.845 1.758 5.011
Li 2.845 1.758 9.805
Li 2.845 8.374 5.011
Li 2.845 8.374 9.805
Ac 2.845 5.066 5.529
Ac 2.845 5.066 9.287
Al 0.000 0.000 0.000
Al 1.422 2.533 0.000
Al 1.422 2.533 7.408
```

D(E_F) (states/eV/f.u.): 5.9
Volume (A^3/atom): 23.7
Crystal system: orthorhombic

It is model i that is the least stable of them.